# KAl2Si | Alexandria via LeMat-Bulk | PBE | optimized geometry
# Calculated density ... 2.20 g/cm³
# Density of states at the Fermi level ... 1.04 states/eV/f.u.
# Magnetization ... 0.00 μB/f.u.
# Formation energy without anion corrections ... 0.350 eV/atom
# E ... -3.15 eV/atom
data_KAl2Si
_space_group_name_H-M_alt 'P 1'
_space_group_IT_number 1
_space_group_name_Hall 'P 1'
_cell_length_a 9.8463
_cell_length_b 9.8463
_cell_length_c 9.8463
_cell_angle_alpha 19.33
_cell_angle_beta 19.33
_cell_angle_gamma 19.33
loop_
_atom_site_label
_atom_site_type_symbol
_atom_site_fract_x
_atom_site_fract_y
_atom_site_fract_z
K1 K 0.0000 0.0000 0.0000
Al1 Al 0.2298 0.2298 0.2298
Al2 Al 0.7702 0.7702 0.7702
Si1 Si 0.5000 0.5000 0.5000

***

# KAlSi | Alexandria via LeMat-Bulk | PBE | optimized geometry
# Calculated density ... 1.77 g/cm³
# Density of states at the Fermi level ... 0.19 states/eV/f.u.
# Magnetization ... 0.00 μB/f.u.
# Formation energy without anion corrections ... 0.152 eV/atom
# E ... -3.27 eV/atom
data_KAlSi
_space_group_name_H-M_alt 'P 1'
_space_group_IT_number 1
_space_group_name_Hall 'P 1'
_cell_length_a 6.6961
_cell_length_b 3.6010
_cell_length_c 14.6303
_cell_angle_alpha 90.00
_cell_angle_beta 90.00
_cell_angle_gamma 90.00
loop_
_atom_site_label
_atom_site_type_symbol
_atom_site_fract_x
_atom_site_fract_y
_atom_site_fract_z
K1 K 0.0610 0.2500 0.1416
K2 K 0.4390 0.7500 0.6416
K3 K 0.5610 0.2500 0.3584
K4 K 0.9390 0.7500 0.8584
Al1 Al 0.0548 0.7500 0.3594
Al2 Al 0.4452 0.2500 0.8594
Al3 Al 0.5548 0.7500 0.1406
Al4 Al 0.9452 0.2500 0.6406
Si1 Si 0.1280 0.2500 0.4935
Si2 Si 0.3720 0.7500 0.9935
Si3 Si 0.6280 0.2500 0.0065
Si4 Si 0.8720 0.7500 0.5065

***

# K2AlSi | Alexandria via LeMat-Bulk | PBE | optimized geometry
# Calculated density ... 1.89 g/cm³
# Density of states at the Fermi level ... 2.04 states/eV/f.u.
# Magnetization ... 0.00 μB/f.u.
# Formation energy without anion corrections ... 0.534 eV/atom
# E ... -2.31 eV/atom
data_K2AlSi
_space_group_name_H-M_alt 'P 1'
_space_group_IT_number 1
_space_group_name_Hall 'P 1'
_cell_length_a 6.0929
_cell_length_b 6.0929
_cell_length_c 3.8066
_cell_angle_alpha 90.05
_cell_angle_beta 90.05
_cell_angle_gamma 123.85
loop_
_atom_site_label
_atom_site_type_symbol
_atom_site_fract_x
_atom_site_fract_y
_atom_site_fract_z
K1 K 0.0000 0.5000 0.0000
K2 K 0.5000 0.0000 0.0000
Al1 Al 0.0000 0.0000 0.5000
Si1 Si 0.5000 0.5000 0.5000

***

# KAlSi | Alexandria via LeMat-Bulk | PBE | optimized geometry
# Calculated density ... 2.26 g/cm³
# Density of states at the Fermi level ... 0.03 states/eV/f.u.
# Magnetization ... 0.00 μB/f.u.
# Formation energy without anion corrections ... 0.214 eV/atom
# E ... -3.21 eV/atom
data_KAlSi
_space_group_name_H-M_alt 'P 1'
_space_group_IT_number 1
_space_group_name_Hall 'P 1'
_cell_length_a 4.6604
_cell_length_b 4.6604
_cell_length_c 7.3656
_cell_angle_alpha 90.00
_cell_angle_beta 90.00
_cell_angle_gamma 120.00
loop_
_atom_site_label
_atom_site_type_symbol
_atom_site_fract_x
_atom_site_fract_y
_atom_site_fract_z
K1 K 0.0000 0.0000 0.0000
K2 K 0.0000 0.0000 0.5000
Al1 Al 0.3333 0.6667 0.2986
Al2 Al 0.6667 0.3333 0.7986
Si1 Si 0.3333 0.6667 0.6978
Si2 Si 0.6667 0.3333 0.1978

***

# K2AlSi | Alexandria via LeMat-Bulk | PBE | optimized geometry
# Calculated density ... 1.91 g/cm³
# Density of states at the Fermi level ... 2.29 states/eV/f.u.
# Magnetization ... 0.00 μB/f.u.
# Formation energy without anion corrections ... 0.688 eV/atom
# E ... -2.15 eV/atom
data_K2AlSi
_space_group_name_H-M_alt 'P 1'
_space_group_IT_number 1
_space_group_name_Hall 'P 1'
_cell_length_a 12.3482
_cell_length_b 12.3482
_cell_length_c 12.3482
_cell_angle_alpha 159.45
_cell_angle_beta 159.45
_cell_angle_gamma 29.22
loop_
_atom_site_label
_atom_site_type_symbol
_atom_site_fract_x
_atom_site_fract_y
_atom_site_fract_z
K1 K 0.1197 0.6250 0.9947
K2 K 0.3750 0.3697 0.4947
K3 K 0.6303 0.1250 0.0053
K4 K 0.8750 0.8803 0.5053
Al1 Al 0.2500 0.7500 0.5000
Al2 Al 0.5000 0.5000 0.0000
Si1 Si 0.0000 0.0000 0.0000
Si2 Si 0.7500 0.2500 0.5000

***

# KAlSi | Alexandria via LeMat-Bulk | PBE | optimized geometry
# Calculated density ... 1.95 g/cm³
# Density of states at the Fermi level ... 0.42 states/eV/f.u.
# Magnetization ... 0.00 μB/f.u.
# Formation energy without anion corrections ... 0.013 eV/atom
# E ... -3.41 eV/atom
data_KAlSi
_space_group_name_H-M_alt 'P 1'
_space_group_IT_number 1
_space_group_name_Hall 'P 1'
_cell_length_a 4.2376
_cell_length_b 5.9418
_cell_length_c 6.9798
_cell_angle_alpha 100.43
_cell_angle_beta 103.78
_cell_angle_gamma 104.11
loop_
_atom_site_label
_atom_site_type_symbol
_atom_site_fract_x
_atom_site_fract_y
_atom_site_fract_z
K1 K 0.2408 0.2165 0.3754
K2 K 0.7592 0.7835 0.6246
Al1 Al 0.4749 0.7808 0.0421
Al2 Al 0.5251 0.2192 0.9579
Si1 Si 0.0332 0.3842 0.8369
Si2 Si 0.9668 0.6158 0.1631

***

> Which formula does entry 4 have?

KAlSi